Computed, not measured: a relaxed structure of Nd2TmIn2 at the PBE level of DFT.

Structure (CIF):
```
data_Nd2TmIn2
_cell_length_a 3.801
_cell_length_b 5.400
_cell_length_c 14.325
_cell_angle_alpha 90.00
_cell_angle_beta 97.65
_cell_angle_gamma 90.00
_space_group_name_H-M_alt 'P 1 21/m 1'
_space_group_IT_number 11
_space_group_name_Hall '-P 2yb'
loop_
_atom_site_label
_atom_site_type_symbol
_atom_site_fract_x
_atom_site_fract_y
_atom_site_fract_z
Nd1 Nd 0.046 0.250 0.092
Nd2 Nd 0.237 0.250 0.474
Tm1 Tm 0.148 0.750 0.298
In1 In 0.358 0.750 0.715
In2 In 0.446 0.250 0.891
```

## Properties
**Magnetization**: 0.00 μB/f.u.
**Energy relative to the elements**: -361 meV per atom
**DFT total energy**: -4.26 eV per atom

=====

Computed, not measured: a relaxed structure of LiMoSCl2 at the PBE level of DFT.

Structure (CIF):
```
data_LiMoSCl2
_cell_length_a 5.035
_cell_length_b 5.035
_cell_length_c 4.607
_cell_angle_alpha 90.00
_cell_angle_beta 90.00
_cell_angle_gamma 90.00
_space_group_name_H-M_alt 'P 4/m m m'
_space_group_IT_number 123
_space_group_name_Hall '-P 4 2'
loop_
_atom_site_label
_atom_site_type_symbol
_atom_site_fract_x
_atom_site_fract_y
_atom_site_fract_z
Li1 Li 0.000 0.000 0.000
Mo1 Mo 0.500 0.500 0.500
S1 S 0.500 0.500 0.000
Cl1 Cl 0.000 0.500 0.500
```

## Properties
**Magnetization**: 1.55 μB/f.u.
**DFT total energy**: -4.68 eV per atom

=====

Computed, not measured: a relaxed structure of ZrV2Ir2 at the PBE level of DFT.

Structure (CIF):
```
data_ZrV2Ir2
_cell_length_a 4.102
_cell_length_b 4.102
_cell_length_c 10.321
_cell_angle_alpha 90.00
_cell_angle_beta 90.00
_cell_angle_gamma 90.00
_space_group_name_H-M_alt 'I 4/m m m'
_space_group_IT_number 139
_space_group_name_Hall '-I 4 2'
loop_
_atom_site_label
_atom_site_type_symbol
_atom_site_fract_x
_atom_site_fract_y
_atom_site_fract_z
Zr1 Zr 0.000 0.000 0.000
V1 V 0.000 0.500 0.250
Ir1 Ir 0.000 0.000 0.377
```

## Properties
**Magnetization**: 0.00 μB/f.u.
**Energy relative to the elements**: -419 meV per atom
**DFT total energy**: -9.32 eV per atom